DFT (PBE-GGA) results for a relaxed structure of Sr2TlSb3Rh4.

The structure in POSCAR format:
```
Sr2TlSb3Rh4
1.0
4.644 0.000 0.000
0.000 4.644 0.000
0.000 0.000 10.582
Sr Tl Sb Rh
2 1 3 4
Cartesian
0.000 2.322 2.595 Sr
2.322 0.000 7.988 Sr
0.000 0.000 5.291 Tl
0.000 2.322 9.274 Sb
2.322 0.000 1.308 Sb
2.322 2.322 5.291 Sb
0.000 0.000 0.000 Rh
0.000 2.322 6.688 Rh
2.322 0.000 3.894 Rh
2.322 2.322 0.000 Rh
```

## Properties
Its raw formation energy is -603 meV per atom. The value obtained for the raw total energy is -5.353 eV/atom. For the calculated volume, the calculation gives 22.8 A^3/atom.